Entry 1:
Below is an optimized crystal structure of LiBe2NbB, with properties calculated at the GGA-PBE level.

```
LiBe2NbB
1.0
3.651 0.000 0.000
0.000 3.651 0.000
0.000 0.000 4.371
Li Be Nb B
1 2 1 1
direct
0.000 0.000 0.000
0.000 0.500 0.000
0.500 0.000 0.000
0.000 0.000 0.500
0.500 0.500 0.500
```

Properties
Fermi-level density of states = 0.3529 states/eV/atom
total magnetic moment = 0.00 μB/cell
space group = P4/mmm, No. 123
ΔE_f = 1241 meV/atom


Entry 2:
Below is an optimized crystal structure of In2Pd4Au3, with properties calculated at the GGA-PBE level.

```
In2Pd4Au3
1.0
4.250 0.000 0.000
-2.125 4.309 0.000
-0.038 -1.661 8.507
In Pd Au
2 4 3
direct
0.170 0.339 0.219
0.830 0.661 0.781
0.167 0.335 0.889
0.499 0.997 0.673
0.501 0.003 0.327
0.833 0.665 0.111
0.162 0.325 0.553
0.500 0.000 0.000
0.838 0.675 0.447
```

Properties
Fermi-level density of states = 0.2892 states/eV/atom
total magnetic moment = 0.00 μB/cell
space group = P-1, No. 2
ΔE_f = -348 meV/atom


Entry 3:
Below is an optimized crystal structure of PaNiSnAu, with properties calculated at the GGA-PBE level.

```
PaNiSnAu
1.0
6.845 0.000 0.000
0.000 6.845 0.000
0.000 0.000 6.845
Pa Ni Sn Au
4 4 4 4
direct
0.000 0.000 0.000
0.000 0.500 0.500
0.500 0.000 0.500
0.500 0.500 0.000
0.250 0.250 0.750
0.250 0.750 0.250
0.750 0.250 0.250
0.750 0.750 0.750
0.000 0.000 0.500
0.000 0.500 0.000
0.500 0.000 0.000
0.500 0.500 0.500
0.250 0.250 0.250
0.250 0.750 0.750
0.750 0.250 0.750
0.750 0.750 0.250
```

Properties
Fermi-level density of states = 0.5017 states/eV/atom
total magnetic moment = 0.00 μB/cell
space group = F-43m, No. 216
ΔE_f = -333 meV/atom